Entry from Alexandria via LeMat-Bulk: crystalline SiTe2RuN at its relaxed geometry (GGA-PBE).

a b c (Å): 5.3443 5.3443 3.2618
angles (deg): 90.00 90.00 90.00
With the nearest neighbours (Å) after each atom.
Fractional positions:
Ru: 0.5000 0.5000 0.5000  8 Te 3.13, 2 Ru 3.26
Si: 0.0000 0.0000 0.0000  2 N 1.63
Te: 0.0000 0.5000 0.0000  2 Si 2.67
Te: 0.5000 0.0000 0.0000  2 Si 2.67
N: 0.0000 0.0000 0.5000  2 Si 1.63

## Properties
For the uncorrected formation energy, the calculation gives 0.61 eV/atom.

Entry from Alexandria via LeMat-Bulk: crystalline AgIrBr2 at its relaxed geometry (GGA-PBE).

a b c (Å): 3.3137 3.3137 9.0317
angles (deg): 90.00 90.00 111.96
With the nearest neighbours (Å) after each atom.
Fractional positions:
Ir: 0.0000 0.0000 0.5093  2 Br 2.48, 2 Ag 2.69
Br: 0.0000 0.0000 0.9401  2 Ag 2.69
Br: 0.5000 0.5000 0.3261  2 Ir 2.48
Ag: 0.5000 0.5000 0.7244  2 Ir 2.69, 2 Br 2.69

## Properties
For the uncorrected formation energy, the calculation gives 0.51 eV/atom.

Entry from Alexandria via LeMat-Bulk: crystalline LaZn9Au2 at its relaxed geometry (GGA-PBE).

a b c (Å): 3.2043 8.8014 8.8014
angles (deg): 120.00 90.00 90.00
With the nearest neighbours (Å) after each atom.
Fractional positions:
La: 0.0000 0.0000 0.0000  2 La 3.20, 12 Zn 3.25
Zn: 0.5000 0.8147 0.1853  2 Au 2.77, 6 Zn 2.82-2.90
Zn: 0.0000 0.0000 0.5000  2 Au 2.54
Zn: 0.0000 0.5000 0.5000  2 Au 2.54
Zn: 0.5000 0.8147 0.6295  2 Au 2.77, 6 Zn 2.82-2.90
Zn: 0.5000 0.1853 0.8147  2 Au 2.77, 6 Zn 2.82-2.90
Zn: 0.5000 0.6295 0.8147  2 Au 2.77, 6 Zn 2.82-2.90
Zn: 0.5000 0.1853 0.3705  2 Au 2.77, 6 Zn 2.82-2.90
Zn: 0.0000 0.5000 0.0000  2 Au 2.54
Zn: 0.5000 0.3705 0.1853  2 Au 2.77, 6 Zn 2.82-2.90
Au: 0.0000 0.6667 0.3333  9 Zn 2.54-2.77
Au: 0.0000 0.3333 0.6667  9 Zn 2.54-2.77

## Properties
Its energy of formation is -0.173 eV/atom.

Entry from Alexandria via LeMat-Bulk: crystalline Mg2GaSi2Ir5 at its relaxed geometry (GGA-PBE).

a b c (Å): 3.3566 9.5016 9.5016
angles (deg): 90.00 90.00 90.00
With the nearest neighbours (Å) after each atom.
Fractional positions:
Mg: 0.0000 0.6712 0.1712  3 Si 2.67-2.89, 6 Ir 2.85-2.97
Mg: 0.0000 0.3288 0.8288  3 Si 2.67-2.89, 6 Ir 2.85-2.97
Mg: 0.0000 0.1712 0.3288  3 Si 2.67-2.89, 6 Ir 2.85-2.97
Mg: 0.0000 0.8288 0.6712  3 Si 2.67-2.89, 6 Ir 2.85-2.97
Ga: 0.0000 0.0000 0.0000  8 Ir 2.65
Ga: 0.0000 0.5000 0.5000  8 Ir 2.65
Si: 0.0000 0.1298 0.6298  6 Ir 2.37-2.42
Si: 0.0000 0.8702 0.3702  6 Ir 2.37-2.42
Si: 0.0000 0.6298 0.8702  6 Ir 2.37-2.42
Si: 0.0000 0.3702 0.1298  6 Ir 2.37-2.42
Ir: 0.5000 0.2038 0.0727  2 Si 2.37
Ir: 0.5000 0.7962 0.9273  2 Si 2.37
Ir: 0.5000 0.0727 0.7962  2 Si 2.37
Ir: 0.5000 0.7038 0.4273  2 Si 2.37
Ir: 0.5000 0.9273 0.2038  2 Si 2.37
Ir: 0.5000 0.2962 0.5727  2 Si 2.37
Ir: 0.5000 0.5727 0.7038  2 Si 2.37
Ir: 0.5000 0.4273 0.2962  2 Si 2.37
Ir: 0.5000 0.5000 0.0000  4 Si 2.42
Ir: 0.5000 0.0000 0.5000  4 Si 2.42

## Properties
For the uncorrected formation energy, the calculation gives -0.55 eV/atom.

Entry from Alexandria via LeMat-Bulk: crystalline Hg2Bi2S at its relaxed geometry (GGA-PBE).

a b c (Å): 4.0789 4.0789 8.7492
angles (deg): 76.52 76.52 90.00
With the nearest neighbours (Å) after each atom.
Fractional positions:
S: 0.0000 0.0000 0.0000  8 Bi 3.27
Bi: 0.4066 0.4066 0.1868  1 Bi 3.09, 4 S 3.27, 4 Hg 3.29
Bi: 0.5934 0.5934 0.8132  1 Bi 3.09, 4 S 3.27, 4 Hg 3.29
Hg: 0.7500 0.2500 0.5000  4 Hg 2.88
Hg: 0.2500 0.7500 0.5000  4 Hg 2.88

## Properties
For the uncorrected formation energy, the calculation gives 0.20 eV/atom.

Entry from Alexandria via LeMat-Bulk: crystalline NdYInNi at its relaxed geometry (GGA-PBE).

a b c (Å): 5.1911 5.1911 5.1911
angles (deg): 60.00 60.00 60.00
With the nearest neighbours (Å) after each atom.
Fractional positions:
Y: 0.7500 0.7500 0.7500  4 In 3.18, 4 Ni 3.18
Ni: 0.0000 0.0000 0.0000  4 Y 3.18, 4 Nd 3.18
Nd: 0.2500 0.2500 0.2500  4 In 3.18, 4 Ni 3.18
In: 0.5000 0.5000 0.5000  4 Y 3.18, 4 Nd 3.18

## Properties
Its energy of formation is -0.275 eV/atom.

no.,spin magnetization (μB per cell)
1,0.9
2,0.2
3,0.0
4,0.0
5,0.0
6,0.0